(1)
DFT (PBE) results for a relaxed structure of CaMg2AlHg4.

a = 4.7788 Å, b = 4.7788 Å, c = 28.3215 Å
α = 90.00°, β = 90.00°, γ = 120.00°
Last column: nearest neighbours and their distance in Å.
Space group R-3m (No. 166, hexagonal axes)
Inequivalent atoms, fractional coordinates:
Ca  0.0000  0.0000  0.0000 x3  8 Hg 3.19-3.57
Mg  0.0000  0.0000  0.2387 x6  7 Hg 2.90-3.19
Al  0.0000  0.0000  0.5000 x3  8 Hg 2.99-3.11
Hg  0.0000  0.0000  0.1262 x6  4 Mg 2.90-3.19, 3 Al 2.99
Hg  0.0000  0.0000  0.3901 x6  3 Mg 2.96, 1 Al 3.11, 3 Ca 3.19

Output
formation energy = -0.221 eV per atom

---

(2)
DFT (PBE) results for a relaxed structure of LiTb2Dy.

a = 7.7568 Å, b = 7.7568 Å, c = 7.7568 Å
α = 90.00°, β = 90.00°, γ = 90.00°
Last column: nearest neighbours and their distance in Å.
Space group Fm-3m (No. 225)
Inequivalent atoms, fractional coordinates:
Li  0.0000  0.0000  0.0000 x4  8 Tb 3.36
Tb  0.2500  0.2500  0.2500 x8  4 Dy 3.36, 4 Li 3.36
Dy  0.0000  0.0000  0.5000 x4  8 Tb 3.36

Output
formation energy = 0.177 eV per atom

---

(3)
DFT (PBE) results for a relaxed structure of PuNpIn2Te4.

a = 7.7046 Å, b = 4.4465 Å, c = 8.5125 Å
α = 90.00°, β = 107.52°, γ = 90.00°
Last column: nearest neighbours and their distance in Å.
Space group P2/m (No. 10)
Inequivalent atoms, fractional coordinates:
Pu  0.0000  0.0000  0.0000 x1  6 Te 3.13-3.14
Np  0.5000  0.5000  0.0000 x1  6 Te 3.11-3.12
In  0.0000  0.5000  0.5000 x1  6 Te 3.44-3.45
In  0.5000  0.0000  0.5000 x1  6 Te 3.42-3.43
Te  0.2426  0.5000  0.2192 x2  1 Np 3.11, 2 Pu 3.13, 3 In 3.43-3.45
Te  0.2629  0.0000  0.7807 x2  2 Np 3.12, 1 Pu 3.14, 3 In 3.42-3.44

Output
formation energy (no corrections) = -0.597 eV/atom

---

(4)
DFT (PBE) results for a relaxed structure of YTiPS2.

a = 4.6169 Å, b = 4.6169 Å, c = 4.8524 Å
α = 90.00°, β = 90.00°, γ = 90.00°
Last column: nearest neighbours and their distance in Å.
Space group P4/mmm (No. 123)
Inequivalent atoms, fractional coordinates:
Y  0.0000  0.0000  0.0000 x1  4 P 3.26, 8 S 3.35
Ti  0.5000  0.5000  0.5000 x1  4 S 2.31, 2 P 2.43
P  0.5000  0.5000  0.0000 x1  2 Ti 2.43
S  0.0000  0.5000  0.5000 x2  2 Ti 2.31

Output
formation energy (no corrections) = -0.983 eV/atom

---

(5)
DFT (PBE) results for a relaxed structure of CaLa2Tc.

a = 3.6655 Å, b = 4.7666 Å, c = 15.5159 Å
α = 90.00°, β = 90.00°, γ = 90.00°
Last column: nearest neighbours and their distance in Å.
Space group Amm2 (No. 38)
Inequivalent atoms, fractional coordinates:
Ca  0.0000  0.0000  0.0000 x2  2 Tc 3.33, 2 La 3.56, 2 Ca 3.67
La  0.0000  0.0000  0.6706 x2  4 Tc 3.01
La  0.5000  0.0000  0.3314 x2  1 Tc 2.37
Tc  0.5000  0.0000  0.1789 x2  1 La 2.37

Output
formation energy = 0.139 eV per atom

---

(6)
DFT (PBE) results for a relaxed structure of Ge3MoBr.

a = 5.0786 Å, b = 5.0786 Å, c = 5.0786 Å
α = 90.00°, β = 90.00°, γ = 90.00°
Last column: nearest neighbours and their distance in Å.
Space group Pm-3m (No. 221)
Inequivalent atoms, fractional coordinates:
Ge  0.0000  0.0000  0.5000 x3  2 Br 2.54
Mo  0.5000  0.5000  0.5000 x1  12 Ge 3.59
Br  0.0000  0.0000  0.0000 x1  6 Ge 2.54

Output
formation energy (no corrections) = 1.519 eV/atom

---

(7)
DFT (PBE) results for a relaxed structure of NaCe4Th3Se8.

a = 8.4084 Å, b = 8.4084 Å, c = 20.5395 Å
α = 90.00°, β = 90.00°, γ = 120.00°
Last column: nearest neighbours and their distance in Å.
Space group R-3m (No. 166, hexagonal axes)
Inequivalent atoms, fractional coordinates:
Na  0.0000  0.0000  0.0000 x3  6 Se 2.93
Ce  0.0000  0.0000  0.5000 x3  6 Se 3.01
Ce  0.0000  0.5000  0.5000 x9  6 Se 2.96-2.97
Th  0.0000  0.5000  0.0000 x9  6 Se 2.97-2.98
Se  0.0000  0.0000  0.2492 x6  3 Ce 2.96, 3 Th 2.98
Se  0.0054  0.5027  0.7490 x18  1 Na 2.93, 3 Ce 2.97-3.01, 2 Th 2.97

Output
formation energy (no corrections) = -1.664 eV/atom

---

(8)
DFT (PBE) results for a relaxed structure of BeNi2P.

a = 7.3166 Å, b = 2.6844 Å, c = 4.2822 Å
α = 90.00°, β = 99.99°, γ = 90.00°
Last column: nearest neighbours and their distance in Å.
Space group C2/m (No. 12)
Inequivalent atoms, fractional coordinates:
Be  0.0000  0.0000  0.0000 x2  6 Ni 2.26-2.38, 4 P 2.53
Ni  0.2486  0.0000  0.7507 x4  3 Be 2.26-2.38, 3 P 2.28-2.36, 2 Ni 2.52
P  0.0000  0.5000  0.5000 x2  6 Ni 2.28-2.36, 4 Be 2.53

Output
formation energy = -0.264 eV per atom

---

| no. | total energy (eV per cell) |
| --- | --- |
| 1 | -35.7 |
| 2 | -60.3 |
| 3 | -50.1 |
| 4 | -32.9 |
| 5 | -43.3 |
| 6 | -18.8 |
| 7 | -305.4 |
| 8 | -43.5 |